# PBE with a Hubbard U PaNiAs2O8, optimized geometry
data_PaNiAs2O8
_symmetry_space_group_name_H-M 'P 1'
_symmetry_Int_Tables_number 1
_cell_length_a 5.424
_cell_length_b 5.424
_cell_length_c 6.656
_cell_angle_alpha 90.00
_cell_angle_beta 90.00
_cell_angle_gamma 120.00
loop_
_symmetry_equiv_pos_as_xyz
'x,y,z'
loop_
_atom_site_label
_atom_site_fract_x
_atom_site_fract_y
_atom_site_fract_z
_atom_site_occupancy
O1 0.158 0.842 0.785 1
O2 0.667 0.333 0.542 1
O3 0.842 0.158 0.215 1
O4 0.685 0.842 0.785 1
O5 0.842 0.685 0.215 1
O6 0.158 0.315 0.785 1
O7 0.315 0.158 0.215 1
O8 0.333 0.667 0.458 1
As1 0.667 0.333 0.286 1
As2 0.333 0.667 0.714 1
Pa1 0.000 0.000 0.500 1
Ni1 0.000 0.000 0.000 1
# E in eV per atom: -6.730
# SG: P-3m1, No. 164